No. 1
A relaxed Er3Al7Ir4 crystal. Source: Alexandria, functional PBE-GGA.

Results
**D(E_F)**: 6.119 states/eV/f.u.
**ΔE_f**: -0.84 eV/atom

abc: 7.9055 7.9055 9.4314
angles: 123.22 123.22 31.19
Fractional positions:
Er: 0.0000 0.0000 0.0000
Er: 0.3052 0.3052 0.2980
Er: 0.6948 0.6948 0.7020
Al: 0.0000 0.0000 0.5000
Al: 0.1573 0.1573 0.4205
Al: 0.3158 0.3158 0.9770
Al: 0.4945 0.4945 0.7062
Al: 0.5055 0.5055 0.2938
Al: 0.6842 0.6842 0.0230
Al: 0.8427 0.8427 0.5795
Ir: 0.1090 0.1090 0.8296
Ir: 0.3363 0.3363 0.7207
Ir: 0.6637 0.6637 0.2793
Ir: 0.8910 0.8910 0.1704

No. 2
A relaxed Er2Al8Ir crystal. Source: Alexandria, functional PBE-GGA.

Results
**D(E_F)**: 3.663 states/eV/f.u.
**ΔE_f**: -0.55 eV/atom

abc: 4.2737 4.2737 11.1143
angles: 90.00 90.00 90.00
Fractional positions:
Er: 0.0000 0.0000 0.1902
Er: 0.0000 0.0000 0.8098
Al: 0.0000 0.5000 0.0000
Al: 0.0000 0.5000 0.3784
Al: 0.0000 0.5000 0.6216
Al: 0.5000 0.0000 0.0000
Al: 0.5000 0.0000 0.3784
Al: 0.5000 0.0000 0.6216
Al: 0.5000 0.5000 0.1928
Al: 0.5000 0.5000 0.8072
Ir: 0.0000 0.0000 0.5000

No. 3
A relaxed Er6Al2Ir crystal. Source: Alexandria, functional PBE-GGA.

Results
**D(E_F)**: 8.291 states/eV/f.u.
**ΔE_f**: -0.26 eV/atom

abc: 8.4867 8.4867 8.4867
angles: 146.21 130.99 60.86
Fractional positions:
Er: 0.0840 0.3419 0.7421
Er: 0.2335 0.0000 0.2335
Er: 0.4002 0.6581 0.7421
Er: 0.5998 0.3419 0.2579
Er: 0.7665 0.0000 0.7665
Er: 0.9160 0.6581 0.2579
Al: 0.3326 0.8326 0.5000
Al: 0.6674 0.1674 0.5000
Ir: 0.0000 0.5000 0.5000

No. 4
A relaxed Er7Al2Ir2 crystal. Source: Alexandria, functional PBE-GGA.

Results
**D(E_F)**: 10.435 states/eV/f.u.
**ΔE_f**: -0.42 eV/atom

abc: 6.6728 6.6728 6.9309
angles: 90.00 90.00 106.47
Fractional positions:
Er: 0.0000 0.0000 0.0000
Er: 0.0000 0.5000 0.2563
Er: 0.0000 0.5000 0.7437
Er: 0.5000 0.0000 0.2563
Er: 0.5000 0.0000 0.7437
Er: 0.5000 0.5000 0.2502
Er: 0.5000 0.5000 0.7498
Al: 0.1678 0.1678 0.5000
Al: 0.8322 0.8322 0.5000
Ir: 0.2884 0.7116 0.0000
Ir: 0.7116 0.2884 0.0000

No. 5
A relaxed ErAl4Ir crystal. Source: Alexandria, functional PBE-GGA.

Results
**D(E_F)**: 2.982 states/eV/f.u.
**ΔE_f**: -0.42 eV/atom

abc: 7.2907 7.2907 7.2907
angles: 127.19 127.19 77.94
Fractional positions:
Er: 0.0000 0.0000 0.0000
Er: 0.5000 0.5000 0.0000
Al: 0.0147 0.5147 0.2022
Al: 0.1875 0.9853 0.5000
Al: 0.3125 0.8125 0.7978
Al: 0.4853 0.6875 0.5000
Al: 0.5147 0.3125 0.5000
Al: 0.6875 0.1875 0.2022
Al: 0.8125 0.0147 0.5000
Al: 0.9853 0.4853 0.7978
Ir: 0.2500 0.2500 0.0000
Ir: 0.7500 0.7500 0.0000

No. 6
A relaxed Er4AlIr crystal. Source: Alexandria, functional PBE-GGA.

Results
**D(E_F)**: 5.132 states/eV/f.u.
**ΔE_f**: -0.48 eV/atom
**Excess energy over the best structure of this formula in the dataset**: 86 meV/atom

abc: 7.7480 7.7480 5.9418
angles: 99.89 99.89 112.86
Fractional positions:
Er: 0.0622 0.7164 0.9493
Er: 0.2136 0.3631 0.6156
Er: 0.2836 0.9378 0.5507
Er: 0.3631 0.2136 0.1156
Er: 0.6369 0.7864 0.8844
Er: 0.7164 0.0622 0.4493
Er: 0.7864 0.6369 0.3844
Er: 0.9378 0.2836 0.0507
Al: 0.3758 0.6242 0.2500
Al: 0.6242 0.3758 0.7500
Ir: 0.9999 0.0001 0.2500
Ir: 0.0001 0.9999 0.7500